The following is a DFT calculation (GGA-PBE) of crystalline TaZn4Cr at its relaxed geometry.

a b c (Å): 4.956 4.956 4.956
angles (deg): 60.00 60.00 60.00
Fractional coordinates of all 6 atoms:
Ta1 0.000 0.000 0.000
Zn1 0.126 0.625 0.625
Zn2 0.625 0.126 0.625
Zn3 0.625 0.625 0.126
Zn4 0.625 0.625 0.625
Cr1 0.250 0.250 0.250

SG: No. 216
ρ (g cm⁻³): 9.54
DOS(E_F) (states/eV per cell): 1.69
DFT formation energy (eV per atom): 0.08
Total magnetic moment (μB per formula unit): 1.01